Entry 1:
DFT (PBE) results for crystalline BiAsIN2 at its relaxed geometry.

The calculation puts the formation energy without anion corrections at 1593 meV per atom. For the calculated volume, the calculation gives 98.9 Å³/f.u.

The space group is P4/mmm (No. 123) and the conventional cell measures 4.250, 4.250 and 5.474 Å, with angles of 90.00, 90.00 and 90.00 degrees. The asymmetric unit holds Bi at (0.000, 0.000, 0.000), As at (0.500, 0.500, 0.500), I at (0.500, 0.500, 0.000) and N at (0.000, 0.500, 0.500).

---

Entry 2:
DFT (PBE) results for crystalline TbSn2Hg2 at its relaxed geometry.

The calculation puts the total DFT energy (no corrections) at -2.962 eV/atom. For the calculated volume, the calculation gives 125.2 Å³/f.u.

The space group is Cmcm (No. 63) and the conventional cell measures 4.565, 24.597 and 4.459 Å, with angles of 90.00, 90.00 and 90.00 degrees. The asymmetric unit holds Tb at (0.000, 0.147, 0.250), Sn at (0.000, 0.250, 0.750), Sn at (0.000, 0.359, 0.250), Hg at (0.000, 0.046, 0.750) and Hg at (0.000, 0.452, 0.750).

---

Entry 3:
DFT (PBE) results for crystalline Ac3Mg4Ga2 at its relaxed geometry.

The calculation puts the total DFT energy (no corrections) at -2.979 eV/atom. For the calculated volume, the calculation gives 262.7 Å³/f.u.

The space group is C2/m (No. 12) and the conventional cell measures 11.757, 5.123 and 9.675 Å, with angles of 90.00, 115.63 and 90.00 degrees. The asymmetric unit holds Ac at (0.000, 0.000, 0.000), Ac at (0.163, 0.500, 0.667), Mg at (0.071, 0.000, 0.396), Mg at (0.211, 0.500, 0.052) and Ga at (0.113, 0.500, 0.279).

---

Entry 4:
DFT (PBE) results for crystalline TlCrCl at its relaxed geometry.

The calculation puts the formation energy without anion corrections at 17 meV per atom. For the calculated volume, the calculation gives 73.4 Å³/f.u.

The space group is I4mm (No. 107) and the conventional cell measures 3.395, 3.395 and 12.734 Å, with angles of 90.00, 90.00 and 90.00 degrees. The asymmetric unit holds Tl at (0.000, 0.000, 0.000), Cr at (0.000, 0.000, 0.661) and Cl at (0.000, 0.000, 0.258).

---

Entry 5:
DFT (PBE) results for crystalline BaGaH at its relaxed geometry.

The calculation puts the total DFT energy (no corrections) at -3.044 eV/atom. For the calculated volume, the calculation gives 67.5 Å³/f.u.

The space group is Pmma (No. 51) and the conventional cell measures 4.313, 3.534 and 8.851 Å, with angles of 90.00, 90.00 and 90.00 degrees. The asymmetric unit holds Ba at (0.250, 0.000, 0.187), Ga at (0.250, 0.500, 0.565) and H at (0.250, 0.500, 0.913).

---

Entry 6:
DFT (PBE) results for crystalline Rb2NbSbO6 at its relaxed geometry.

The calculation puts the formation energy without anion corrections at -1898 meV per atom. For the calculated volume, the calculation gives 136.0 Å³/f.u.

The space group is Fm-3m (No. 225) and the conventional cell measures 8.164, 8.164 and 8.164 Å, with angles of 90.00, 90.00 and 90.00 degrees. The asymmetric unit holds Rb at (0.250, 0.250, 0.250), Nb at (0.000, 0.000, 0.000), Sb at (0.000, 0.000, 0.500) and O at (0.000, 0.000, 0.250).

---

Entry 7:
DFT (PBE) results for crystalline Sr12InHg6 at its relaxed geometry.

The calculation puts the total DFT energy (no corrections) at -1.662 eV/atom. For the calculated volume, the calculation gives 742.6 Å³/f.u.

The space group is Im-3 (No. 204) and the conventional cell measures 11.410, 11.410 and 11.410 Å, with angles of 90.00, 90.00 and 90.00 degrees. The asymmetric unit holds Sr at (0.000, 0.179, 0.290), In at (0.000, 0.000, 0.000) and Hg at (0.000, 0.366, 0.500).

---

Entry 8:
DFT (PBE) results for crystalline La2Zn4NiPt3 at its relaxed geometry.

The calculation puts the total DFT energy (no corrections) at -4.577 eV/atom. For the calculated volume, the calculation gives 192.8 Å³/f.u.

The space group is P-4m2 (No. 115) and the conventional cell measures 4.215, 4.215 and 10.850 Å, with angles of 90.00, 90.00 and 90.00 degrees. The asymmetric unit holds La at (0.000, 0.500, 0.242), Zn at (0.000, 0.000, 0.500), Zn at (0.000, 0.500, 0.877), Zn at (0.500, 0.500, 0.500), Ni at (0.500, 0.500, 0.000), Pt at (0.000, 0.000, 0.000) and Pt at (0.000, 0.500, 0.642).

---

Entry 9:
DFT (PBE) results for crystalline GeHOs at its relaxed geometry.

The calculation puts the total DFT energy (no corrections) at -6.190 eV/atom. For the calculated volume, the calculation gives 44.2 Å³/f.u.

The space group is P2/m (No. 10) and the conventional cell measures 5.356, 3.016 and 5.477 Å, with angles of 90.00, 90.13 and 90.00 degrees. The asymmetric unit holds Ge at (0.229, 0.000, 0.000), H at (0.273, 0.500, 0.499) and Os at (0.500, 0.500, 0.263).

---

Entry 10:
DFT (PBE) results for crystalline NbV4Co4 at its relaxed geometry.

The calculation puts the total DFT energy (no corrections) at -8.266 eV/atom. For the calculated volume, the calculation gives 116.6 Å³/f.u.

The space group is P4_2/n (No. 86, origin choice 2) and the conventional cell measures 7.333, 7.333 and 4.338 Å, with angles of 90.00, 90.00 and 90.00 degrees. The asymmetric unit holds Nb at (0.250, 0.250, 0.250), V at (0.100, 0.838, 0.605) and Co at (0.044, 0.128, 0.846).

---

Entry 11:
DFT (PBE) results for crystalline PrDyGe2 at its relaxed geometry.

The calculation puts the total DFT energy (no corrections) at -5.266 eV/atom. For the calculated volume, the calculation gives 96.0 Å³/f.u.

The space group is P4/mmm (No. 123) and the conventional cell measures 4.832, 4.832 and 4.113 Å, with angles of 90.00, 90.00 and 90.00 degrees. The asymmetric unit holds Pr at (0.000, 0.000, 0.000), Dy at (0.500, 0.500, 0.000) and Ge at (0.000, 0.500, 0.500).

---

Entry 12:
DFT (PBE) results for crystalline TbPaHgBi at its relaxed geometry.

The calculation puts the total DFT energy (no corrections) at -4.723 eV/atom. For the calculated volume, the calculation gives 109.9 Å³/f.u.

The space group is F-43m (No. 216) and the conventional cell measures 7.605, 7.605 and 7.605 Å, with angles of 90.00, 90.00 and 90.00 degrees. The asymmetric unit holds Tb at (0.000, 0.000, 0.000), Pa at (0.000, 0.000, 0.500), Hg at (0.250, 0.250, 0.250) and Bi at (0.250, 0.250, 0.750).

---

Entry 13:
DFT (PBE) results for crystalline LaPmSe2O at its relaxed geometry.

The calculation puts the formation energy without anion corrections at -2457 meV per atom. For the calculated volume, the calculation gives 127.8 Å³/f.u.

The space group is P4/nmm (No. 129, origin choice 2) and the conventional cell measures 4.144, 4.144 and 14.891 Å, with angles of 90.00, 90.00 and 90.00 degrees. The asymmetric unit holds La at (0.250, 0.250, 0.081), Pm at (0.250, 0.250, 0.626), Se at (0.250, 0.250, 0.410), Se at (0.250, 0.250, 0.807) and O at (0.250, 0.750, 0.000).

---

Entry 14:
DFT (PBE) results for crystalline CsAgPb2F8 at its relaxed geometry.

The calculation puts the formation energy without anion corrections at -2053 meV per atom. For the calculated volume, the calculation gives 252.5 Å³/f.u.

The space group is P-1 (No. 2) and the conventional cell measures 4.572, 6.800 and 8.427 Å, with angles of 87.72, 74.68 and 89.45 degrees. The asymmetric unit holds Cs at (0.000, 0.000, 0.000), Ag at (0.500, 0.000, 0.500), Pb at (0.404, 0.541, 0.232), F at (0.088, 0.431, 0.793), F at (0.380, 0.879, 0.299), F at (0.401, 0.283, 0.420) and F at (0.479, 0.300, 0.033).

---

Entry 15:
DFT (PBE) results for crystalline LaCrRh2 at its relaxed geometry.

The calculation puts the total DFT energy (no corrections) at -7.182 eV/atom. For the calculated volume, the calculation gives 93.4 Å³/f.u.

The space group is I-42d (No. 122) and the conventional cell measures 4.824, 4.824 and 16.046 Å, with angles of 90.00, 90.00 and 90.00 degrees. The asymmetric unit holds La at (0.000, 0.000, 0.000), Cr at (0.000, 0.000, 0.500) and Rh at (0.090, 0.250, 0.625).

---

Entry 16:
DFT (PBE) results for crystalline Sc2NbInN at its relaxed geometry.

The calculation puts the formation energy without anion corrections at -863 meV per atom. For the calculated volume, the calculation gives 86.5 Å³/f.u.

The space group is P4/mmm (No. 123) and the conventional cell measures 4.511, 4.511 and 4.253 Å, with angles of 90.00, 90.00 and 90.00 degrees. The asymmetric unit holds Sc at (0.000, 0.500, 0.000), Nb at (0.000, 0.000, 0.500), In at (0.500, 0.500, 0.500) and N at (0.000, 0.000, 0.000).

---

Entry 17:
DFT (PBE) results for crystalline K2RbPrI6 at its relaxed geometry.

The calculation puts the formation energy without anion corrections at -1352 meV per atom. For the calculated volume, the calculation gives 572.5 Å³/f.u.

The space group is Fm-3m (No. 225) and the conventional cell measures 13.181, 13.181 and 13.181 Å, with angles of 90.00, 90.00 and 90.00 degrees. The asymmetric unit holds K at (0.250, 0.250, 0.250), Rb at (0.000, 0.000, 0.000), Pr at (0.000, 0.000, 0.500) and I at (0.000, 0.000, 0.263).

---

Entry 18:
DFT (PBE) results for crystalline YMgRe2 at its relaxed geometry.

The calculation puts the total DFT energy (no corrections) at -7.616 eV/atom. For the calculated volume, the calculation gives 71.8 Å³/f.u.

The space group is R-3m (No. 166, hexagonal axes) and the conventional cell measures 2.8686, 2.8686 and 30.2258 Å, with angles of 90.00, 90.00 and 120.00 degrees. The asymmetric unit holds Y at (0.0000, 0.0000, 0.0000), Mg at (0.0000, 0.0000, 0.5000) and Re at (0.0000, 0.0000, 0.2442).

---

Entry 19:
DFT (PBE) results for crystalline KHf2NbS at its relaxed geometry.

The calculation puts the formation energy without anion corrections at 2124 meV per atom. For the calculated volume, the calculation gives 116.2 Å³/f.u.

The space group is P4/mmm (No. 123) and the conventional cell measures 4.868, 4.868 and 4.904 Å, with angles of 90.00, 90.00 and 90.00 degrees. The asymmetric unit holds K at (0.000, 0.000, 0.000), Hf at (0.000, 0.500, 0.000), Nb at (0.500, 0.500, 0.500) and S at (0.000, 0.000, 0.500).

---

Entry 20:
DFT (PBE) results for crystalline AcGa8Au2 at its relaxed geometry.

The calculation puts the total DFT energy (no corrections) at -3.223 eV/atom. For the calculated volume, the calculation gives 274.0 Å³/f.u.

The space group is P4/mmm (No. 123) and the conventional cell measures 5.419, 5.419 and 9.328 Å, with angles of 90.00, 90.00 and 90.00 degrees. The asymmetric unit holds Ac at (0.000, 0.000, 0.000), Ga at (0.254, 0.254, 0.286) and Au at (0.000, 0.500, 0.500).

---

Entry 21:
DFT (PBE) results for crystalline KCd3Ag at its relaxed geometry.

The calculation puts the total DFT energy (no corrections) at -1.311 eV/atom. For the calculated volume, the calculation gives 158.6 Å³/f.u.

The space group is Pm-3m (No. 221) and the conventional cell measures 5.413, 5.413 and 5.413 Å, with angles of 90.00, 90.00 and 90.00 degrees. The asymmetric unit holds K at (0.000, 0.000, 0.000), Cd at (0.000, 0.500, 0.500) and Ag at (0.500, 0.500, 0.500).

---

Entry 22:
DFT (PBE) results for crystalline LaTb5Au4 at its relaxed geometry.

The calculation puts the total DFT energy (no corrections) at -4.797 eV/atom. For the calculated volume, the calculation gives 258.2 Å³/f.u.

The space group is P4/mmm (No. 123) and the conventional cell measures 3.593, 3.593 and 20.002 Å, with angles of 90.00, 90.00 and 90.00 degrees. The asymmetric unit holds La at (0.000, 0.000, 0.000), Tb at (0.500, 0.500, 0.136), Tb at (0.500, 0.500, 0.316), Tb at (0.500, 0.500, 0.500), Au at (0.000, 0.000, 0.223) and Au at (0.000, 0.000, 0.408).

---

Entry 23:
DFT (PBE) results for crystalline ScReW2 at its relaxed geometry.

The calculation puts the total DFT energy (no corrections) at -11.075 eV/atom. For the calculated volume, the calculation gives 65.2 Å³/f.u.

The space group is Fm-3m (No. 225) and the conventional cell measures 6.391, 6.391 and 6.391 Å, with angles of 90.00, 90.00 and 90.00 degrees. The asymmetric unit holds Sc at (0.000, 0.000, 0.000), Re at (0.000, 0.000, 0.500) and W at (0.250, 0.250, 0.250).

---

Entry 24:
DFT (PBE) results for crystalline AgPSe2 at its relaxed geometry.

The calculation puts the formation energy without anion corrections at 243 meV per atom. For the calculated volume, the calculation gives 83.5 Å³/f.u.

The space group is Imm2 (No. 44) and the conventional cell measures 3.449, 3.760 and 12.872 Å, with angles of 90.00, 90.00 and 90.00 degrees. The asymmetric unit holds Ag at (0.000, 0.000, 0.000), P at (0.000, 0.500, 0.255), Se at (0.000, 0.000, 0.614) and Se at (0.000, 0.500, 0.841).

---

Entry 25:
DFT (PBE) results for crystalline YCrAg at its relaxed geometry.

The calculation puts the total DFT energy (no corrections) at -6.081 eV/atom. For the calculated volume, the calculation gives 65.7 Å³/f.u.

The space group is P-6m2 (No. 187) and the conventional cell measures 4.7685, 4.7685 and 3.3388 Å, with angles of 90.00, 90.00 and 120.00 degrees. The asymmetric unit holds Y at (0.0000, 0.0000, 0.0000), Cr at (0.3333, 0.6667, 0.5000) and Ag at (0.6667, 0.3333, 0.5000).